First-principles (PBE with a Hubbard U) data for an optimized crystal structure of NaNi5O6, as listed in the Alexandria database.

Output
Calculated total energy: -4.72 eV/atom
Symmetry: C2/m, No. 12

Structure (POSCAR):
```
NaNi5O6
1.0
5.2010 -0.0016 -0.0032
0.8782 5.1339 -0.0031
0.8783 -2.7828 4.3142
Ni O Na
5 6 1
direct
0.5000 0.4992 0.5008 Ni
0.0000 0.3308 0.6692 Ni
0.0000 0.0026 0.9974 Ni
0.0000 0.6667 0.3333 Ni
0.5000 0.8341 0.1659 Ni
0.7585 0.7226 0.7462 O
0.2415 0.6108 0.9205 O
0.2355 0.9003 0.5671 O
0.2415 0.2538 0.2774 O
0.7585 0.0795 0.3892 O
0.7645 0.4329 0.0997 O
0.5000 0.1667 0.8333 Na
```